--- A ---
First-principles (GGA-PBE) data for a relaxed structure of Dy2ThRu, as listed in the Alexandria database.

Results
magnetization = 0.0 μB/f.u.

a b c (Å): 3.4295 3.4295 32.4394
angles (deg): 90.00 90.00 120.00
Space group R-3m (No. 166, hexagonal axes)
Unique sites:
Dy 0.0000 0.0000 0.1062
Th 0.0000 0.0000 0.0000
Ru 0.0000 0.0000 0.5000

--- B ---
First-principles (GGA-PBE) data for a relaxed structure of Dy2ThRu, as listed in the Alexandria database.

Results
magnetization = 0.0 μB/f.u.

a b c (Å): 7.227 9.600 6.355
angles (deg): 90.00 90.00 90.00
Space group Pnma (No. 62)
Unique sites:
Dy 0.174 0.067 0.169
Th 0.047 0.250 0.654
Ru 0.132 0.750 0.968

What is the stability order? It is B, A, from most stable to least stable.

--- A ---
First-principles (GGA-PBE) data for a relaxed structure of Dy2TlRu, as listed in the Alexandria database.

Results
magnetization = 0.0 μB/f.u.

a b c (Å): 7.185 7.185 7.185
angles (deg): 90.00 90.00 90.00
Space group Fm-3m (No. 225)
Unique sites:
Dy 0.250 0.250 0.250
Tl 0.000 0.000 0.000
Ru 0.000 0.000 0.500

--- B ---
First-principles (GGA-PBE) data for a relaxed structure of Dy2TlRu, as listed in the Alexandria database.

Results
magnetization = 0.0 μB/f.u.

a b c (Å): 3.6151 3.6151 26.9542
angles (deg): 90.00 90.00 120.00
Space group R-3m (No. 166, hexagonal axes)
Unique sites:
Dy 0.0000 0.0000 0.2354
Tl 0.0000 0.0000 0.0000
Ru 0.0000 0.0000 0.5000

--- C ---
First-principles (GGA-PBE) data for a relaxed structure of Dy2TlRu, as listed in the Alexandria database.

Results
magnetization = 0.0 μB/f.u.

a b c (Å): 5.043 5.043 3.653
angles (deg): 90.00 90.00 90.00
Space group P4/mmm (No. 123)
Unique sites:
Dy 0.000 0.500 0.000
Tl 0.000 0.000 0.500
Ru 0.500 0.500 0.500

What is the stability order? It is A, C, B, from most stable to least stable.

--- A ---
First-principles (GGA-PBE) data for a relaxed structure of Dy3Tl2Ru, as listed in the Alexandria database.

Results
magnetization = 0.0 μB/f.u.

a b c (Å): 7.808 10.698 8.018
angles (deg): 90.00 99.52 90.00
Space group C2/m (No. 12)
Unique sites:
Dy 0.167 0.000 0.164
Dy 0.225 0.179 0.778
Tl 0.000 0.000 0.500
Tl 0.000 0.360 0.500
Tl 0.000 0.500 0.000
Ru 0.000 0.213 0.000

--- B ---
First-principles (GGA-PBE) data for a relaxed structure of Dy3Tl2Ru, as listed in the Alexandria database.

Results
magnetization = 0.0 μB/f.u.

a b c (Å): 5.122 15.201 7.638
angles (deg): 90.00 90.00 90.00
Space group Cmmm (No. 65)
Unique sites:
Dy 0.000 0.000 0.231
Dy 0.000 0.324 0.219
Tl 0.000 0.164 0.500
Tl 0.000 0.500 0.000
Tl 0.000 0.500 0.500
Ru 0.000 0.164 0.000

What is the stability order? It is B, A, from most stable to least stable.

--- A ---
First-principles (GGA-PBE) data for a relaxed structure of Dy4Tl2Ru, as listed in the Alexandria database.

Results
magnetization = 0.0 μB/f.u.

a b c (Å): 6.614 3.549 9.143
angles (deg): 90.00 110.45 90.00
Space group P2/m (No. 10)
Unique sites:
Dy 0.124 0.000 0.257
Dy 0.329 0.500 0.652
Tl 0.266 0.500 0.002
Ru 0.000 0.000 0.500

--- B ---
First-principles (GGA-PBE) data for a relaxed structure of Dy4Tl2Ru, as listed in the Alexandria database.

Results
magnetization = 0.0 μB/f.u.

a b c (Å): 11.302 4.683 8.681
angles (deg): 90.00 123.91 90.00
Space group C2/m (No. 12)
Unique sites:
Dy 0.069 0.000 0.352
Dy 0.167 0.500 0.057
Tl 0.159 0.500 0.673
Ru 0.000 0.000 0.000

What is the stability order? It is B, A, from most stable to least stable.

--- A ---
First-principles (GGA-PBE) data for a relaxed structure of Dy2TmRu2, as listed in the Alexandria database.

Results
magnetization = 0.0 μB/f.u.

a b c (Å): 3.379 20.332 3.359
angles (deg): 90.00 90.00 90.00
Space group Cmmm (No. 65)
Unique sites:
Dy 0.000 0.164 0.000
Tm 0.000 0.000 0.000
Ru 0.000 0.414 0.500

--- B ---
First-principles (GGA-PBE) data for a relaxed structure of Dy2TmRu2, as listed in the Alexandria database.

Results
magnetization = 0.0 μB/f.u.

a b c (Å): 10.248 6.693 6.710
angles (deg): 90.00 90.47 90.00
Space group P2_1/c (No. 14)
Unique sites:
Dy 0.002 0.250 0.462
Dy 0.332 0.730 0.475
Tm 0.336 0.231 0.518
Ru 0.168 0.003 0.248
Ru 0.497 0.000 0.250

What is the stability order? It is A, B, from most stable to least stable.

--- A ---
First-principles (GGA-PBE) data for a relaxed structure of DyTm2Ru, as listed in the Alexandria database.

Results
magnetization = 0.0 μB/f.u.

a b c (Å): 3.395 3.395 8.762
angles (deg): 90.00 90.00 90.00
Space group P4/mmm (No. 123)
Unique sites:
Dy 0.000 0.000 0.000
Tm 0.500 0.500 0.315
Ru 0.000 0.000 0.500

--- B ---
First-principles (GGA-PBE) data for a relaxed structure of DyTm2Ru, as listed in the Alexandria database.

Results
magnetization = 0.0 μB/f.u.

a b c (Å): 7.275 9.023 6.252
angles (deg): 90.00 90.00 90.00
Space group Pnma (No. 62)
Unique sites:
Dy 0.040 0.250 0.129
Tm 0.176 0.064 0.667
Ru 0.116 0.750 0.459

--- C ---
First-principles (GGA-PBE) data for a relaxed structure of DyTm2Ru, as listed in the Alexandria database.

Results
magnetization = 0.0 μB/f.u.

a b c (Å): 3.880 11.802 8.975
angles (deg): 90.00 90.00 90.00
Space group Cmcm (No. 63)
Unique sites:
Dy 0.000 0.074 0.250
Tm 0.000 0.356 0.067
Ru 0.000 0.257 0.750

What is the stability order? It is B, C, A, from most stable to least stable.